Compound: GaNiSn2
Source: the Open Quantum Materials Database
Functional: PBE
Structure: relaxed

Cell: 3.347 8.585 8.585 Å, 40.96 90.00 90.00°
Fractional coordinates of all 8 atoms:
Sn1 0.000 0.233 0.233
Sn2 0.500 0.824 0.313
Sn3 0.500 0.781 0.781
Sn4 0.500 0.313 0.824
Ga1 0.000 0.687 0.146
Ga2 0.000 0.146 0.687
Ni1 0.500 0.362 0.362
Ni2 0.000 0.655 0.655

M_tot   0.00 μB/f.u.
Symmetry   Amm2, No. 38
Energy   -33.619 eV per cell

---

Compound: GaNiSn2
Source: the Open Quantum Materials Database
Functional: PBE
Structure: relaxed

Cell: 7.053 7.053 3.434 Å, 90.00 90.00 106.80°
Fractional coordinates of all 8 atoms:
Sn1 0.329 0.067 0.250
Sn2 0.671 0.933 0.750
Sn3 0.933 0.671 0.250
Sn4 0.067 0.329 0.750
Ga1 0.598 0.402 0.750
Ga2 0.402 0.598 0.250
Ni1 0.756 0.244 0.250
Ni2 0.244 0.756 0.750

M_tot   0.00 μB/f.u.
Symmetry   Cmcm, No. 63
Energy   -33.748 eV per cell

---

Compound: Ga2NiSn
Source: the Open Quantum Materials Database
Functional: PBE
Structure: relaxed

Cell: 3.826 6.214 6.214 Å, 72.61 90.00 90.00°
Fractional coordinates of all 8 atoms:
Ga1 0.000 0.140 0.140
Ga2 0.000 0.141 0.580
Ga3 0.500 0.881 0.881
Ga4 0.000 0.580 0.141
Ni1 0.500 0.345 0.345
Ni2 0.000 0.724 0.724
Sn1 0.500 0.796 0.393
Sn2 0.500 0.393 0.796

M_tot   0.00 μB/f.u.
Symmetry   Amm2, No. 38
Energy   -31.583 eV per cell